Record 1
{
  "formula": "BaAg3Ge",
  "functional": "PBEsol",
  "state": "optimized geometry",
  "lattice_angstrom": [[4.982, 0.000, 0.000], [0.000, 4.982, 0.000], [0.000, 0.000, 4.982]],
  "species": ["Ag", "Ag", "Ag", "Ba", "Ge"],
  "fractional_positions": [[0.500, 0.000, 0.000], [0.000, 0.500, 0.000], [0.000, 0.000, 0.500], [0.500, 0.500, 0.500], [0.000, 0.000, 0.000]],
  "density_g_cm3": 7.17,
  "volume_a3_per_fu": 124,
  "total_magnetization_mub_per_atom": 0.000,
  "sg": "No. 221",
  "e_form_ev_per_atom": -0.06
}



Record 2
{
  "formula": "CaSi2",
  "functional": "PBEsol",
  "state": "optimized geometry",
  "lattice_angstrom": [[-2.794, -4.913, -0.388], [-0.335, -5.061, 2.522], [-3.645, -3.210, 2.916]],
  "species": ["Si", "Si", "Ca"],
  "fractional_positions": [[0.198, 0.198, 0.198], [0.802, 0.802, 0.802], [0.000, 0.000, 0.000]],
  "density_g_cm3": 2.43,
  "formation_energy_uncorrected_kcal_per_mol_atoms": -9.57,
  "volume_a3_per_fu": 66,
  "total_magnetization_mub_per_atom": 0.000,
  "sg": "No. 166"
}



Record 3
{
  "formula": "Li2Sc2P",
  "functional": "PBEsol",
  "state": "optimized geometry",
  "lattice_angstrom": [[3.345, 0.000, 0.000], [0.000, 3.345, 0.000], [-1.672, -1.672, 8.402]],
  "species": ["Li", "Li", "Sc", "Sc", "P"],
  "fractional_positions": [[0.250, 0.750, 0.500], [0.750, 0.250, 0.500], [0.584, 0.584, 0.169], [0.416, 0.416, 0.831], [0.000, 0.000, 0.000]],
  "density_g_cm3": 2.38,
  "volume_a3_per_fu": 94,
  "total_magnetization_mub_per_atom": 0.000,
  "sg": "No. 139",
  "e_form_ev_per_atom": -0.28
}



What did the second record say?
{
  "formula": "CaSi2",
  "functional": "PBEsol",
  "state": "optimized geometry",
  "lattice_angstrom": [[-2.794, -4.913, -0.388], [-0.335, -5.061, 2.522], [-3.645, -3.210, 2.916]],
  "species": ["Si", "Si", "Ca"],
  "fractional_positions": [[0.198, 0.198, 0.198], [0.802, 0.802, 0.802], [0.000, 0.000, 0.000]],
  "density_g_cm3": 2.43,
  "formation_energy_uncorrected_kcal_per_mol_atoms": -9.57,
  "volume_a3_per_fu": 66,
  "total_magnetization_mub_per_atom": 0.000,
  "sg": "No. 166"
}